[1]
Below is crystalline KLiCa2Pd at its relaxed geometry, with properties calculated at the PBE level.

Structure (CIF):
```
data_KLiCa2Pd
_cell_length_a 5.689
_cell_length_b 5.689
_cell_length_c 5.412
_cell_angle_alpha 90.00
_cell_angle_beta 90.00
_cell_angle_gamma 90.00
_symmetry_space_group_name_H-M 'P 4/m m m'
_symmetry_Int_Tables_number 123
_symmetry_space_group_name_Hall '-P 4 2'
loop_
_atom_site_label
_atom_site_fract_x
_atom_site_fract_y
_atom_site_fract_z
K1 0.000 0.000 0.000
Li1 0.500 0.500 0.000
Ca1 0.000 0.500 0.500
Pd1 0.500 0.500 0.500
```

Computed properties:
* ΔE to the lowest computed polymorph: 0.0 meV/atom
* energy of formation: -0.164 eV/atom

***

[2]
Below is crystalline KLiCaPt2 at its relaxed geometry, with properties calculated at the PBE level.

Structure (CIF):
```
data_KLiCaPt2
_cell_length_a 4.706
_cell_length_b 4.706
_cell_length_c 4.874
_cell_angle_alpha 90.00
_cell_angle_beta 90.00
_cell_angle_gamma 90.00
_symmetry_space_group_name_H-M 'P 4/m m m'
_symmetry_Int_Tables_number 123
_symmetry_space_group_name_Hall '-P 4 2'
loop_
_atom_site_label
_atom_site_fract_x
_atom_site_fract_y
_atom_site_fract_z
K1 0.000 0.000 0.000
Li1 0.500 0.500 0.500
Ca1 0.500 0.500 0.000
Pt1 0.000 0.500 0.500
```

Computed properties:
* energy of formation: 0.026 eV/atom

***

[3]
Below is crystalline KLiCa2Pt at its relaxed geometry, with properties calculated at the PBE level.

Structure (CIF):
```
data_KLiCa2Pt
_cell_length_a 5.650
_cell_length_b 5.650
_cell_length_c 5.354
_cell_angle_alpha 90.00
_cell_angle_beta 90.00
_cell_angle_gamma 90.00
_symmetry_space_group_name_H-M 'P 4/m m m'
_symmetry_Int_Tables_number 123
_symmetry_space_group_name_Hall '-P 4 2'
loop_
_atom_site_label
_atom_site_fract_x
_atom_site_fract_y
_atom_site_fract_z
K1 0.000 0.000 0.000
Li1 0.500 0.500 0.000
Ca1 0.000 0.500 0.500
Pt1 0.500 0.500 0.500
```

Computed properties:
* energy of formation: -0.303 eV/atom

***

Which value of energy of formation does entry 2 give? 0.026 eV/atom

***

What did the second record say?
Below is crystalline KLiCaPt2 at its relaxed geometry, with properties calculated at the PBE level.

Structure (CIF):
```
data_KLiCaPt2
_cell_length_a 4.706
_cell_length_b 4.706
_cell_length_c 4.874
_cell_angle_alpha 90.00
_cell_angle_beta 90.00
_cell_angle_gamma 90.00
_symmetry_space_group_name_H-M 'P 4/m m m'
_symmetry_Int_Tables_number 123
_symmetry_space_group_name_Hall '-P 4 2'
loop_
_atom_site_label
_atom_site_fract_x
_atom_site_fract_y
_atom_site_fract_z
K1 0.000 0.000 0.000
Li1 0.500 0.500 0.500
Ca1 0.500 0.500 0.000
Pt1 0.000 0.500 0.500
```

Computed properties:
* energy of formation: 0.026 eV/atom

***

Which of these has the lowest energy of formation? KLiCa2Pt

***

Please write out number 3 again, unchanged.
Below is crystalline KLiCa2Pt at its relaxed geometry, with properties calculated at the PBE level.

Structure (CIF):
```
data_KLiCa2Pt
_cell_length_a 5.650
_cell_length_b 5.650
_cell_length_c 5.354
_cell_angle_alpha 90.00
_cell_angle_beta 90.00
_cell_angle_gamma 90.00
_symmetry_space_group_name_H-M 'P 4/m m m'
_symmetry_Int_Tables_number 123
_symmetry_space_group_name_Hall '-P 4 2'
loop_
_atom_site_label
_atom_site_fract_x
_atom_site_fract_y
_atom_site_fract_z
K1 0.000 0.000 0.000
Li1 0.500 0.500 0.000
Ca1 0.000 0.500 0.500
Pt1 0.500 0.500 0.500
```

Computed properties:
* energy of formation: -0.303 eV/atom